The following is a DFT calculation (PBE) of a relaxed structure of Tb12Sm6Er.

a b c (Å): 15.1325 15.1325 10.2058
angles (deg): 90.00 90.00 120.00
Space group R-3m (No. 166, hexagonal axes)
Unique sites:
Tb (0.0000, 0.3888, 0.0000) x18
Tb (0.0788, 0.1576, 0.7379) x18
Sm (0.0787, 0.5394, 0.7156) x18
Er (0.0000, 0.0000, 0.5000) x3

## Properties
Density of states at the Fermi level   31.8 states/eV/f.u.
E above lowest polymorph   5.87 eV per formula unit
ΔE_f   0.4575 eV per atom
Total moment   0.0 Bohr magnetons per cell